1.
# MgCu2Si

A relaxed MgCu2Si crystal (PBE-GGA, Alexandria via LeMat-Bulk).

Output
As for the crystal system: tetragonal. The value obtained for the uncorrected formation energy is -39.4 meV per atom. For the density of states at the Fermi level, the calculation gives 1.3 states/eV per cell. As for the theoretical density: 5.379 g/cm3.

Unit cell a=3.919 b=3.919 c=3.608 alpha=90.00 beta=90.00 gamma=90.00
Space group P4/mmm (No. 123)
Asymmetric unit:
Mg1 0.000 0.000 0.000
Cu1 0.000 0.500 0.500
Si1 0.500 0.500 0.000

---

2.
# MnIn2Hg

A relaxed MnIn2Hg crystal (PBE-GGA, Alexandria via LeMat-Bulk).

Output
As for the crystal system: monoclinic. The energy of formation from the pure elements is 0.169 eV per atom. For the density of states at the Fermi level, the calculation gives 5.9 states/eV per cell. As for the theoretical density: 8.845 g/cm3.

Unit cell a=13.583 b=3.018 c=4.725 alpha=90.00 beta=109.86 gamma=90.00
Space group Cm (No. 8)
Asymmetric unit:
Mn1 0.000 0.000 0.000
In1 0.004 0.500 0.504
In2 0.310 0.000 0.811
Hg1 0.191 0.500 0.196

---

3.
# TbInGa

A relaxed TbInGa crystal (PBE-GGA, Alexandria via LeMat-Bulk).

Output
As for the crystal system: tetragonal. The energy of formation from the pure elements is -0.319 eV per atom. For the density of states at the Fermi level, the calculation gives 5.4 states/eV per cell. As for the theoretical density: 8.005 g/cm3.

Unit cell a=3.480 b=3.480 c=11.768 alpha=90.00 beta=90.00 gamma=90.00
Space group I4mm (No. 107)
Asymmetric unit:
Tb1 0.000 0.000 0.000
In1 0.000 0.000 0.307
Ga1 0.000 0.000 0.663

---

4.
# CoMoPt2

A relaxed CoMoPt2 crystal (PBE-GGA, Alexandria via LeMat-Bulk).

Output
As for the crystal system: tetragonal. The energy of formation from the pure elements is -0.173 eV per atom. For the density of states at the Fermi level, the calculation gives 8.4 states/eV per cell. As for the theoretical density: 15.740 g/cm3.

Unit cell a=3.851 b=3.851 c=7.756 alpha=90.00 beta=90.00 gamma=90.00
Space group I-4m2 (No. 119)
Asymmetric unit:
Co1 0.000 0.000 0.000
Mo1 0.000 0.500 0.250
Pt1 0.000 0.000 0.500
Pt2 0.000 0.500 0.750